Here is Pr6YHo4 after structural relaxation from Alexandria. Energies are from PBE.

a b c (Å): 6.614 6.614 17.698
angles (deg): 90.00 90.00 90.00
Space group I-42m (No. 121)
Symmetry-distinct sites (fractional):
Pr (0.000, 0.500, 0.000) (multiplicity 4)
Pr (0.179, 0.179, 0.363) (multiplicity 8)
Y (0.000, 0.000, 0.000) (multiplicity 2)
Ho (0.184, 0.184, 0.174) (multiplicity 8)

Calculated values
energy of formation from the pure elements	0.2839	eV/atom
energy above the lowest structure with this stoichiometry	0	meV/atom
total DFT energy (no corrections)	-4.575	eV per atom


Here is HfAl3V8 after structural relaxation from Alexandria. Energies are from PBE.

a b c (Å): 5.0536 5.0536 8.1635
angles (deg): 90.00 90.00 120.00
Space group P3m1 (No. 156)
Symmetry-distinct sites (fractional):
Hf (0.0000, 0.0000, 0.0000) (multiplicity 1)
Al (0.0000, 0.0000, 0.3732) (multiplicity 1)
Al (0.6667, 0.3333, 0.5012) (multiplicity 1)
Al (0.6667, 0.3333, 0.8793) (multiplicity 1)
V (0.1645, 0.3290, 0.6797) (multiplicity 3)
V (0.3333, 0.6667, 0.4428) (multiplicity 1)
V (0.3333, 0.6667, 0.9406) (multiplicity 1)
V (0.5007, 0.0015, 0.1926) (multiplicity 3)

Calculated values
energy of formation from the pure elements	0.0309	eV/atom
total DFT energy (no corrections)	-7.813	eV per atom


Here is AcPrNd2Sm6 after structural relaxation from Alexandria. Energies are from PBE.

a b c (Å): 9.314 15.715 9.865
angles (deg): 90.00 96.19 90.00
Space group C2/c (No. 15)
Symmetry-distinct sites (fractional):
Ac (0.000, 0.025, 0.250) (multiplicity 4)
Pr (0.000, 0.408, 0.750) (multiplicity 4)
Nd (0.250, 0.059, 0.545) (multiplicity 8)
Sm (0.064, 0.191, 0.944) (multiplicity 8)
Sm (0.104, 0.395, 0.118) (multiplicity 8)
Sm (0.206, 0.231, 0.317) (multiplicity 8)

Calculated values
energy of formation from the pure elements	0.1211	eV/atom
total DFT energy (no corrections)	-4.553	eV per atom


Here is Ni2PPt after structural relaxation from Alexandria. Energies are from PBE.

a b c (Å): 3.628 3.628 7.593
angles (deg): 90.00 90.00 90.00
Space group I4/mmm (No. 139)
Symmetry-distinct sites (fractional):
Ni (0.000, 0.500, 0.250) (multiplicity 4)
P (0.000, 0.000, 0.000) (multiplicity 2)
Pt (0.000, 0.000, 0.500) (multiplicity 2)

Calculated values
energy of formation from the pure elements	-0.0586	eV/atom
total DFT energy (no corrections)	-5.812	eV per atom


Question: Look up the energy of formation from the pure elements of the first one.
Answer: 0.2839 eV/atom